No. 1
A relaxed Al2OsCl crystal. Source: Alexandria, functional PBE-GGA.

The space group is P4mm (No. 99) and the conventional cell measures 2.9898, 2.9898 and 7.4875 Å, with angles of 90.00, 90.00 and 90.00 degrees. The distinct sites, in fractional coordinates, are Al at (0.0000, 0.0000, 0.0000), Al at (0.5000, 0.5000, 0.2494), Os at (0.5000, 0.5000, 0.8120) and Cl at (0.0000, 0.0000, 0.5598).

The calculation puts the calculated density at 6.94 Mg/m³. For the formation energy without anion corrections, the calculation gives 0.31 eV per atom.


No. 2
A relaxed Be2TcW crystal. Source: Alexandria, functional PBE-GGA.

The space group is C2/m (No. 12) and the conventional cell measures 5.2035, 7.3012 and 2.6302 Å, with angles of 90.00, 102.49 and 90.00 degrees. The distinct sites, in fractional coordinates, are Be at (0.2500, 0.2500, 0.0000), Tc at (0.0000, 0.0000, 0.5000) and W at (0.0000, 0.5000, 0.5000).

The calculation puts the calculated density at 10.21 Mg/m³. For the energy of formation from the pure elements, the calculation gives 126 meV/atom.


No. 3
A relaxed PtSI3 crystal. Source: Alexandria, functional PBE-GGA.

The space group is Pm-3m (No. 221) and the conventional cell measures 5.4424, 5.4424 and 5.4424 Å, with angles of 90.00, 90.00 and 90.00 degrees. The distinct sites, in fractional coordinates, are Pt at (0.0000, 0.0000, 0.0000), S at (0.5000, 0.5000, 0.5000) and I at (0.0000, 0.5000, 0.5000).

The calculation puts the calculated density at 6.26 Mg/m³. For the formation energy without anion corrections, the calculation gives 1.02 eV per atom.


No. 4
A relaxed SbHNF2 crystal. Source: Alexandria, functional PBE-GGA.

The space group is P4/mmm (No. 123) and the conventional cell measures 4.2588, 4.2588 and 3.7952 Å, with angles of 90.00, 90.00 and 90.00 degrees. The distinct sites, in fractional coordinates, are Sb at (0.0000, 0.0000, 0.0000), H at (0.5000, 0.5000, 0.5000), N at (0.0000, 0.0000, 0.5000) and F at (0.0000, 0.5000, 0.0000).

The calculation puts the calculated density at 4.22 Mg/m³. The calculated total energy comes out at -4.0479 eV/atom.


No. 5
A relaxed Sb2TeAu crystal. Source: Alexandria, functional PBE-GGA.

The space group is P4mm (No. 99) and the conventional cell measures 3.1945, 3.1945 and 10.3779 Å, with angles of 90.00, 90.00 and 90.00 degrees. The distinct sites, in fractional coordinates, are Sb at (0.0000, 0.0000, 0.0000), Sb at (0.5000, 0.5000, 0.2543), Te at (0.0000, 0.0000, 0.5736) and Au at (0.5000, 0.5000, 0.8014).

The calculation puts the calculated density at 8.91 Mg/m³. For the formation energy without anion corrections, the calculation gives 0.26 eV per atom.


No. 6
A relaxed Mg4CdIn crystal. Source: Alexandria, functional PBE-GGA.

The space group is C2/m (No. 12) and the conventional cell measures 10.1481, 3.2930 and 8.8511 Å, with angles of 90.00, 113.55 and 90.00 degrees. The distinct sites, in fractional coordinates, are Mg at (0.1654, 0.0000, 0.3277), Mg at (0.1662, 0.0000, 0.8384), Cd at (0.0000, 0.5000, 0.0000) and In at (0.0000, 0.5000, 0.5000).

The calculation puts the calculated density at 3.97 Mg/m³. For the energy of formation from the pure elements, the calculation gives -78 meV/atom.


No. 7
A relaxed Na3WCl7 crystal. Source: Alexandria, functional PBE-GGA.

The space group is C222_1 (No. 20) and the conventional cell measures 9.3501, 13.3398 and 9.2703 Å, with angles of 90.00, 90.00 and 90.00 degrees. The distinct sites, in fractional coordinates, are Na at (0.0011, 0.0000, 0.0000), Na at (0.2414, 0.2743, 0.7503), W at (0.0000, 0.5000, 0.0000), Cl at (0.0000, 0.1264, 0.2500), Cl at (0.0000, 0.1593, 0.7500), Cl at (0.0000, 0.4409, 0.7500), Cl at (0.1796, 0.3788, 0.0400) and Cl at (0.1800, 0.3789, 0.4603).

The calculation puts the calculated density at 2.88 Mg/m³. For the formation energy without anion corrections, the calculation gives -1.26 eV per atom.


No. 8
A relaxed K2InAsBr6 crystal. Source: Alexandria, functional PBE-GGA.

The space group is Fm-3m (No. 225) and the conventional cell measures 11.3337, 11.3337 and 11.3337 Å, with angles of 90.00, 90.00 and 90.00 degrees. The distinct sites, in fractional coordinates, are K at (0.2500, 0.2500, 0.2500), In at (0.0000, 0.0000, 0.0000), As at (0.0000, 0.0000, 0.5000) and Br at (0.0000, 0.0000, 0.2632).

The calculation puts the calculated density at 3.41 Mg/m³. For the formation energy without anion corrections, the calculation gives -0.98 eV per atom.


No. 9
A relaxed Ac2PmS3 crystal. Source: Alexandria, functional PBE-GGA.

The space group is Fddd (No. 70, origin choice 2) and the conventional cell measures 8.4951, 11.9383 and 25.0697 Å, with angles of 90.00, 90.00 and 90.00 degrees. The distinct sites, in fractional coordinates, are Ac at (0.1250, 0.1250, 0.0429), Ac at (0.1250, 0.1250, 0.3739), Pm at (0.1250, 0.1250, 0.5416), S at (0.1102, 0.3750, 0.8750) and S at (0.1181, 0.3687, 0.7107).

The calculation puts the calculated density at 7.26 Mg/m³. For the formation energy without anion corrections, the calculation gives -2.01 eV per atom.


No. 10
A relaxed AcPm2 crystal. Source: Alexandria, functional PBE-GGA.

The space group is Fd-3m (No. 227, origin choice 2) and the conventional cell measures 9.7161, 9.7161 and 9.7161 Å, with angles of 90.00, 90.00 and 90.00 degrees. The distinct sites, in fractional coordinates, are Ac at (0.1250, 0.1250, 0.1250) and Pm at (0.0000, 0.0000, 0.5000).

The calculation puts the calculated density at 7.49 Mg/m³. For the energy of formation from the pure elements, the calculation gives 210 meV/atom.


No. 11
A relaxed LuMgCuIr crystal. Source: Alexandria, functional PBE-GGA.

The space group is F-43m (No. 216) and the conventional cell measures 6.5362, 6.5362 and 6.5362 Å, with angles of 90.00, 90.00 and 90.00 degrees. The distinct sites, in fractional coordinates, are Lu at (0.0000, 0.0000, 0.0000), Mg at (0.0000, 0.0000, 0.5000), Cu at (0.2500, 0.2500, 0.7500) and Ir at (0.2500, 0.2500, 0.2500).

The calculation puts the calculated density at 10.82 Mg/m³. For the energy of formation from the pure elements, the calculation gives -485 meV/atom.


No. 12
A relaxed Cd2In4Bi3 crystal. Source: Alexandria, functional PBE-GGA.

The space group is C2/c (No. 15) and the conventional cell measures 15.7910, 11.7064 and 5.6229 Å, with angles of 90.00, 96.91 and 90.00 degrees. The distinct sites, in fractional coordinates, are Cd at (0.1058, 0.1219, 0.2959), In at (0.0555, 0.3802, 0.0177), In at (0.2204, 0.1093, 0.8877), Bi at (0.0000, 0.1209, 0.7500) and Bi at (0.1664, 0.3561, 0.5530).

The calculation puts the calculated density at 8.44 Mg/m³. For the energy of formation from the pure elements, the calculation gives 61 meV/atom.


Number 1: M_tot 0.00 μB/f.u.. Number 2: M_tot 0.00 μB/f.u.. Number 3: M_tot 0.84 μB/f.u.. Number 4: M_tot 0.83 μB/f.u.. Number 5: M_tot 0.00 μB/f.u.. Number 6: M_tot 0.00 μB/f.u.. Number 7: M_tot 2.00 μB/f.u.. Number 8: M_tot 0.00 μB/f.u.. Number 9: M_tot 0.00 μB/f.u.. Number 10: M_tot 0.00 μB/f.u.. Number 11: M_tot 0.00 μB/f.u.. Number 12: M_tot 0.00 μB/f.u..